No. 1
Entry from Alexandria: a geometry-optimized LiThBi structure (PBE).

Unit cell a=4.6042 b=8.4786 c=7.9064 alpha=90.00 beta=90.00 gamma=90.00
With the nearest neighbours (Å) after each atom.
Fractional positions:
Li 0.2500 0.5821 0.3125  3 Bi 2.75-2.86
Li 0.7500 0.4179 0.6875  3 Bi 2.75-2.86
Li 0.7500 0.0821 0.1875  3 Bi 2.75-2.86
Li 0.2500 0.9179 0.8125  3 Bi 2.75-2.86
Th 0.2500 0.1878 0.4981  5 Bi 3.32-3.37, 6 Li 3.37-3.65
Th 0.2500 0.3122 0.9981  5 Bi 3.32-3.37, 6 Li 3.37-3.65
Th 0.7500 0.6878 0.0019  5 Bi 3.32-3.37, 6 Li 3.37-3.65
Th 0.7500 0.8122 0.5019  5 Bi 3.32-3.37, 6 Li 3.37-3.65
Bi 0.7500 0.4051 0.2928  3 Li 2.75-2.86
Bi 0.2500 0.9051 0.2072  3 Li 2.75-2.86
Bi 0.2500 0.5949 0.7072  3 Li 2.75-2.86
Bi 0.7500 0.0949 0.7928  3 Li 2.75-2.86

Total moment   0.00 Bohr magnetons per cell
Excess energy over the best structure of this formula in the dataset   21 meV/atom

No. 2
Entry from Alexandria: a geometry-optimized LiCaP structure (PBE).

Unit cell a=4.8480 b=4.8482 c=3.9414 alpha=66.01 beta=66.02 gamma=47.97
With the nearest neighbours (Å) after each atom.
Fractional positions:
Li 0.3374 0.3374 0.6626  1 P 2.49, 1 Ca 2.59
P 0.6514 0.6514 0.3486  1 Li 2.49
Ca 0.0113 0.0113 0.9887  1 Li 2.59, 1 P 2.86

Total moment   0.00 Bohr magnetons per cell
VASP energy   -11.27 eV for the cell shown

No. 3
Entry from Alexandria: a geometry-optimized LaPu3Zn8 structure (PBE).

Unit cell a=5.5815 b=5.5815 c=8.7069 alpha=90.00 beta=90.00 gamma=120.00
With the nearest neighbours (Å) after each atom.
Fractional positions:
Zn 0.9976 0.4988 0.7539  6 Zn 2.67-2.81
Zn 0.3333 0.6667 0.5026  6 Zn 2.72-2.74
Zn 0.6607 0.8304 0.2459  6 Zn 2.68-2.84
Zn 0.1696 0.3393 0.2459  6 Zn 2.68-2.84
Zn 0.5012 0.4988 0.7539  6 Zn 2.67-2.81
Zn 0.1696 0.8304 0.2459  6 Zn 2.68-2.84
Zn 0.3333 0.6667 0.9980  6 Zn 2.67-2.68
Zn 0.5012 0.0024 0.7539  6 Zn 2.67-2.81
La 0.0000 0.0000 0.5593  12 Zn 3.18-3.27, 4 Pu 3.39-3.42
Pu 0.6667 0.3333 0.0626  12 Zn 3.13-3.27, 4 Pu 3.19-3.37
Pu 0.0000 0.0000 0.9489  12 Zn 3.06-3.27, 3 Pu 3.37, 1 La 3.39
Pu 0.6667 0.3333 0.4291  1 Pu 3.19, 12 Zn 3.21-3.29, 3 La 3.42

Total moment   5.89 Bohr magnetons per cell
VASP energy   -60.02 eV for the cell shown

No. 4
Entry from Alexandria: a geometry-optimized Ni2MoBr structure (PBE).

Unit cell a=4.1706 b=4.1706 c=6.3346 alpha=83.61 beta=83.61 gamma=43.23
With the nearest neighbours (Å) after each atom.
Fractional positions:
Mo 0.2296 0.2296 0.1552  5 Ni 2.40-2.51, 2 Br 2.61
Br 0.6293 0.6293 0.4799  1 Ni 2.45, 2 Mo 2.61
Ni 0.9569 0.9569 0.0124  3 Mo 2.40-2.43, 3 Ni 2.45-2.46
Ni 0.6842 0.6842 0.8525  1 Br 2.45, 3 Ni 2.45-2.46, 2 Mo 2.51

Formation energy (no corrections)   0.39 eV per atom
Total moment   0.00 Bohr magnetons per cell
Excess energy over the best structure of this formula in the dataset   58 meV/atom

No. 5
Entry from Alexandria: a geometry-optimized EuSiGe structure (PBE).

Unit cell a=4.7337 b=4.0798 c=4.0798 alpha=120.00 beta=90.00 gamma=90.00
With the nearest neighbours (Å) after each atom.
Fractional positions:
Si 0.0776 0.0000 0.0000  3 Ge 2.50
Ge 0.2514 0.3333 0.6667  3 Si 2.50
Eu 0.6710 0.6667 0.3333  3 Si 3.04, 3 Ge 3.08

Formation energy (no corrections)   -0.49 eV per atom
Total moment   6.95 Bohr magnetons per cell

No. 6
Entry from Alexandria: a geometry-optimized Er2PuGa structure (PBE).

Unit cell a=4.4894 b=4.7270 c=4.7270 alpha=90.00 beta=90.00 gamma=90.00
With the nearest neighbours (Å) after each atom.
Fractional positions:
Er 0.0000 0.0000 0.5000  4 Pu 3.26, 4 Ga 3.26, 4 Er 3.34
Er 0.0000 0.5000 0.0000  4 Pu 3.26, 4 Ga 3.26, 4 Er 3.34
Pu 0.5000 0.5000 0.5000  8 Er 3.26, 4 Ga 3.34
Ga 0.5000 0.0000 0.0000  8 Er 3.26, 4 Pu 3.34

Total moment   6.55 Bohr magnetons per cell
Excess energy over the best structure of this formula in the dataset   66 meV/atom

Which formula does entry 1 have?
LiThBi

Look up the total moment of the first one.
0.00 Bohr magnetons per cell

Among the records above, which one has the highest total moment?
EuSiGe